Record 1
Density functional theory data (PBE) for a relaxed structure of DyEr8Tm5.

space group: I-4 (82)
crystal system: tetragonal

a b c (Å): 8.310 8.310 8.310
angles (deg): 111.02 106.42 111.02
Atoms (fractional coordinates):
Er (0.576, 0.918, 0.838)
Er (0.080, 0.746, 0.475)
Er (0.525, 0.606, 0.272)
Er (0.162, 0.738, 0.080)
Er (0.342, 0.262, 0.424)
Er (0.728, 0.254, 0.334)
Er (0.920, 0.082, 0.658)
Er (0.666, 0.394, 0.920)
Tm (0.500, 0.000, 0.500)
Tm (0.037, 0.322, 0.135)
Tm (0.865, 0.902, 0.188)
Tm (0.812, 0.678, 0.715)
Tm (0.285, 0.098, 0.963)
Dy (0.250, 0.500, 0.750)

---

Record 2
Density functional theory data (PBE) for a relaxed structure of DyEr5Tm.

space group: Imm2 (44)
offset from the most stable computed form: 90.85 kJ/mol of atoms
crystal system: orthorhombic

a b c (Å): 6.060 7.948 7.653
angles (deg): 121.28 113.32 90.00
Atoms (fractional coordinates):
Er (0.677, 0.743, 0.486)
Er (0.191, 0.257, 0.514)
Er (0.171, 0.500, 0.000)
Er (0.433, 0.179, 0.000)
Er (0.433, 0.821, 0.000)
Dy (0.933, 0.000, 0.000)
Tm (0.692, 0.500, 0.000)

---

Record 3
Density functional theory data (PBE) for a relaxed structure of Dy3ErTm5.

space group: C2/m (12)
offset from the most stable computed form: 39.30 kJ/mol of atoms
crystal system: monoclinic

a b c (Å): 9.367 9.367 11.409
angles (deg): 52.75 52.75 73.31
Atoms (fractional coordinates):
Dy (0.301, 0.301, 0.189)
Dy (0.699, 0.699, 0.811)
Dy (0.343, 0.343, 0.634)
Dy (0.000, 0.000, 0.500)
Dy (0.657, 0.657, 0.366)
Dy (0.000, 0.000, 0.000)
Tm (0.848, 0.346, 0.250)
Tm (0.187, 0.187, 0.034)
Tm (0.510, 0.510, 0.771)
Tm (0.654, 0.152, 0.750)
Tm (0.739, 0.261, 0.000)
Tm (0.813, 0.813, 0.966)
Tm (0.261, 0.739, 0.000)
Tm (0.152, 0.654, 0.750)
Tm (0.490, 0.490, 0.229)
Tm (0.346, 0.848, 0.250)
Er (0.146, 0.146, 0.603)
Er (0.854, 0.854, 0.397)

---

Record 4
Density functional theory data (PBE) for a relaxed structure of Dy2Er3Tm4.

space group: C2/c (15)
crystal system: monoclinic

a b c (Å): 6.049 11.075 11.075
angles (deg): 62.03 61.83 61.83
Atoms (fractional coordinates):
Dy (0.922, 0.522, 0.235)
Dy (0.422, 0.235, 0.522)
Dy (0.078, 0.478, 0.765)
Dy (0.578, 0.765, 0.478)
Er (0.257, 0.263, 0.069)
Er (0.243, 0.931, 0.737)
Er (0.750, 0.403, 0.597)
Er (0.250, 0.597, 0.403)
Er (0.743, 0.737, 0.931)
Er (0.757, 0.069, 0.263)
Tm (0.581, 0.427, 0.145)
Tm (0.419, 0.573, 0.855)
Tm (0.919, 0.855, 0.573)
Tm (0.081, 0.145, 0.427)
Tm (0.578, 0.096, 0.812)
Tm (0.422, 0.904, 0.188)
Tm (0.078, 0.812, 0.096)
Tm (0.922, 0.188, 0.904)

---

Record 5
Density functional theory data (PBE) for a relaxed structure of Dy4Er3Tm3.

space group: Amm2 (38)
crystal system: orthorhombic

a b c (Å): 3.680 9.159 9.159
angles (deg): 90.02 90.00 90.00
Atoms (fractional coordinates):
Tm (0.000, 0.000, 0.501)
Tm (0.500, 0.170, 0.830)
Tm (0.000, 0.499, 0.000)
Dy (0.000, 0.628, 0.372)
Dy (0.000, 0.129, 0.128)
Dy (0.000, 0.371, 0.629)
Dy (0.000, 0.872, 0.871)
Er (0.500, 0.330, 0.330)
Er (0.500, 0.670, 0.670)
Er (0.500, 0.830, 0.170)

---

Record 6
Density functional theory data (PBE) for a relaxed structure of Dy5Er2Tm2.

space group: Ima2 (46)
offset from the most stable computed form: 16.60 kJ/mol of atoms
crystal system: orthorhombic

a b c (Å): 12.614 6.040 10.202
angles (deg): 107.22 128.19 90.00
Atoms (fractional coordinates):
Dy (0.669, 0.817, 0.714)
Dy (0.067, 0.793, 0.500)
Dy (0.933, 0.293, 0.500)
Dy (0.545, 0.317, 0.714)
Dy (0.152, 0.242, 0.904)
Dy (0.252, 0.742, 0.904)
Dy (0.848, 0.338, 0.096)
Dy (0.455, 0.603, 0.286)
Dy (0.748, 0.838, 0.096)
Dy (0.331, 0.103, 0.286)
Er (0.500, 0.388, 0.000)
Er (0.801, 0.756, 0.500)
Er (0.000, 0.888, 0.000)
Er (0.199, 0.256, 0.500)
Tm (0.588, 0.085, 0.271)
Tm (0.183, 0.585, 0.271)
Tm (0.817, 0.314, 0.729)
Tm (0.412, 0.814, 0.729)

---

| no. | DFT formation energy (eV/atom) | energy (Ry per atom) |
| --- | --- | --- |
| 1 | 0.259 | -0.3141 |
| 2 | 1.009 | -0.2607 |
| 3 | 0.541 | -0.2928 |
| 4 | 0.105 | -0.3253 |
| 5 | 0.098 | -0.3273 |
| 6 | 0.192 | -0.3213 |